Record 1
Density functional theory data (PBE) for an optimized crystal structure of SrZrC2. Values from VASP.

Cell and atoms, written as Quantum ESPRESSO input:
```
&SYSTEM
  ibrav = 0, nat = 8, ntyp = 3
/
ATOMIC_SPECIES
Zr 91.22 Zr.upf
Sr 87.62 Sr.upf
C 12.01 C.upf
CELL_PARAMETERS angstrom
5.5968 0.0000 0.0000
0.0000 5.5968 0.0000
2.7984 2.7984 5.4607
ATOMIC_POSITIONS angstrom
Zr 0.0000 0.0000 0.0000
Zr 5.5968 2.7984 2.7304
Sr 2.7984 5.5968 2.7304
Sr 2.7984 2.7984 0.0000
C 4.1976 3.7556 4.0955
C 0.9572 4.1976 1.3652
C 6.9960 7.4380 4.0955
C 4.6396 1.3992 1.3652
```

For the formation energy, the calculation gives 0.613 eV/atom. The energy relative to the lowest polymorph listed for this composition comes out at 0.000 eV per atom.

***

Record 2
Density functional theory data (PBE) for an optimized crystal structure of Li2ZnCu6. Values from VASP.

Cell and atoms, written as Quantum ESPRESSO input:
```
&SYSTEM
  ibrav = 0, nat = 18, ntyp = 3
/
ATOMIC_SPECIES
Zn 65.41 Zn.upf
Cu 63.55 Cu.upf
Li 6.94 Li.upf
CELL_PARAMETERS angstrom
3.7488 0.0000 -0.0003
0.0000 7.6863 0.0000
0.0006 0.0000 7.6861
ATOMIC_POSITIONS angstrom
Zn 1.8744 3.8432 -0.0001
Zn 0.0003 0.0000 3.8431
Cu 3.7493 7.6745 6.4292
Cu 1.8746 3.8550 2.5863
Cu 3.7490 5.0999 3.8551
Cu 1.8749 1.2699 5.1123
Cu 1.8748 3.8313 5.0996
Cu 3.7492 5.1130 6.4166
Cu 0.0001 0.0118 1.2567
Cu 1.8745 6.4165 2.5736
Cu 0.0002 2.5733 1.2693
Cu 1.8743 6.4296 0.0122
Cu 0.0004 2.5865 3.8307
Cu 1.8750 1.2567 7.6737
Li 1.8747 1.3209 2.5215
Li 3.7488 5.1640 1.3211
Li 0.0006 2.5223 6.3647
Li 1.8747 6.3655 5.1643
```

For the formation energy, the calculation gives -0.065 eV/atom. The energy relative to the lowest polymorph listed for this composition comes out at 0.000 eV per atom.

***

Record 3
Density functional theory data (PBE) for an optimized crystal structure of Nd3Co3Hg. Values from VASP.

Cell and atoms, written as Quantum ESPRESSO input:
```
&SYSTEM
  ibrav = 0, nat = 14, ntyp = 3
/
ATOMIC_SPECIES
Co 58.93 Co.upf
Nd 144.24 Nd.upf
Hg 200.59 Hg.upf
CELL_PARAMETERS angstrom
3.8692 0.0000 0.0000
0.0000 8.5802 -4.9538
0.0000 0.0000 9.9076
ATOMIC_POSITIONS angstrom
Co 0.9673 8.3463 3.5450
Co 0.9673 7.4771 -4.0468
Co 2.9019 1.1031 9.0006
Co 2.9019 0.2340 1.4088
Co 2.9019 7.2432 4.4520
Co 0.9673 1.3371 0.5018
Nd 0.9673 0.6625 3.4075
Nd 0.9673 2.6197 7.6302
Nd 2.9019 3.2822 1.1300
Nd 0.9673 5.2980 3.8238
Nd 2.9019 7.9178 1.5463
Nd 2.9019 5.9605 -2.6764
Hg 0.9673 5.7202 0.0000
Hg 2.9019 2.8601 4.9538
```

For the formation energy, the calculation gives -0.132 eV/atom.

***

Record 4
Density functional theory data (PBE) for an optimized crystal structure of TaCuSi. Values from VASP.

Cell and atoms, written as Quantum ESPRESSO input:
```
&SYSTEM
  ibrav = 0, nat = 12, ntyp = 3
/
ATOMIC_SPECIES
Ta 180.95 Ta.upf
Si 28.09 Si.upf
Cu 63.55 Cu.upf
CELL_PARAMETERS angstrom
4.8295 0.0000 0.0000
0.0000 4.9905 0.0000
0.0000 0.0000 6.8097
ATOMIC_POSITIONS angstrom
Ta 2.4147 3.7429 4.2917
Ta 0.0000 1.2476 0.8868
Ta 0.0000 3.7429 5.9229
Ta 2.4147 1.2476 2.5180
Si 2.4147 2.4953 0.0000
Si 2.4147 0.0000 0.0000
Si 0.0000 0.0000 3.4048
Si 0.0000 2.4953 3.4048
Cu 1.2074 1.2476 5.1073
Cu 3.6221 3.7429 1.7024
Cu 1.2074 3.7429 1.7024
Cu 3.6221 1.2476 5.1073
```

The formation energy without anion corrections is -33.6 kJ/mol of atoms.